! BaSi2Pb (GGA-PBE, optimized geometry); values from VASP
&SYSTEM
  ibrav = 0, nat = 4, ntyp = 3
/
ATOMIC_SPECIES
Ba 137.33 Ba.upf
Pb 207.20 Pb.upf
Si 28.09 Si.upf
ATOMIC_POSITIONS angstrom
Ba -11.405 6.230 -3.517
Pb -16.054 8.770 -4.950
Si -21.425 11.704 -6.607
Si -6.053 3.306 -1.866
CELL_PARAMETERS angstrom
-7.013 5.507 -0.603
-6.477 4.393 -4.316
-8.485 2.105 -1.857
! raw formation energy	12.4	kJ/mol of formula units
! symmetry	No. 160
! volume	114.7	Å³/cell